w | VASP calculation (GGA-PBE) on crystalline La2ScAu at its relaxed geometry.

Lattice parameters (Å, degrees): 8.806 8.806 6.979 50.88 50.88 90.00
Positions (direct):
Sc (0.500, 0.500, 0.000)
Sc (0.250, 0.750, 0.500)
Au (0.000, 0.000, 0.000)
Au (0.750, 0.250, 0.500)
La (0.671, 0.125, 0.250)
La (0.079, 0.625, 0.250)
La (0.375, 0.329, 0.750)
La (0.875, 0.921, 0.750)

Output
total magnetic moment	0.000	μB/cell
calculated density	7.06	Mg/m³

x | VASP calculation (GGA-PBE) on crystalline La2ScAu at its relaxed geometry.

Lattice parameters (Å, degrees): 10.075 10.075 10.075 21.61 21.61 21.61
Positions (direct):
Au (0.750, 0.750, 0.750)
La (0.008, 0.008, 0.008)
La (0.492, 0.492, 0.492)
Sc (0.250, 0.250, 0.250)

Output
total magnetic moment	0.000	μB/cell
calculated density	7.10	Mg/m³

Need the numbers? Relative energies in meV/atom: w 87; x 0.

w | VASP calculation (GGA-PBE) on crystalline La2ScAu2 at its relaxed geometry.

Lattice parameters (Å, degrees): 8.212 8.212 4.033 90.00 90.00 90.00
Positions (direct):
Sc (0.000, 0.000, 0.000)
Sc (0.500, 0.500, 0.000)
Au (0.368, 0.868, 0.000)
Au (0.868, 0.632, 0.000)
Au (0.632, 0.132, 0.000)
Au (0.132, 0.368, 0.000)
La (0.171, 0.671, 0.500)
La (0.671, 0.829, 0.500)
La (0.829, 0.329, 0.500)
La (0.329, 0.171, 0.500)

Output
total magnetic moment	0.000	μB/cell
calculated density	8.75	Mg/m³

x | VASP calculation (GGA-PBE) on crystalline La2ScAu2 at its relaxed geometry.

Lattice parameters (Å, degrees): 7.946 7.946 7.946 146.84 146.84 47.60
Each line ends with the local moment (μB).
Positions (direct):
La (0.611, 0.611, 0.000)  0.02
La (0.389, 0.389, 0.000)  0.02
Sc (0.000, 0.000, 0.000)  0.11
Au (0.250, 0.750, 0.500)  0.00
Au (0.750, 0.250, 0.500)  0.00

Output
total magnetic moment	0.247	μB/cell
calculated density	7.96	Mg/m³

Need the numbers? Relative energies in meV/atom: w 0; x 519.

w | VASP calculation (GGA-PBE) on crystalline LaScAu4 at its relaxed geometry.

Lattice parameters (Å, degrees): 3.710 3.710 9.322 90.00 90.00 90.00
Positions (direct):
La (0.000, 0.000, 0.000)
Sc (0.500, 0.500, 0.500)
Au (0.500, 0.500, 0.811)
Au (0.500, 0.500, 0.189)
Au (0.000, 0.000, 0.652)
Au (0.000, 0.000, 0.348)

Output
total magnetic moment	0.000	μB/cell
calculated density	12.58	Mg/m³

x | VASP calculation (GGA-PBE) on crystalline LaScAu4 at its relaxed geometry.

Lattice parameters (Å, degrees): 5.677 5.677 5.677 60.00 60.00 60.00
Positions (direct):
La (0.750, 0.750, 0.750)
Sc (0.000, 0.000, 0.000)
Au (0.877, 0.374, 0.374)
Au (0.374, 0.374, 0.877)
Au (0.374, 0.877, 0.374)
Au (0.374, 0.374, 0.374)

Output
total magnetic moment	0.000	μB/cell
calculated density	12.47	Mg/m³

Need the numbers? Relative energies in meV/atom: w 0; x 276.

w | VASP calculation (GGA-PBE) on crystalline LaScAu3 at its relaxed geometry.

Lattice parameters (Å, degrees): 5.105 5.105 5.105 90.00 90.00 90.00
Positions (direct):
Sc (0.000, 0.000, 0.000)
Au (0.000, 0.500, 0.000)
Au (0.000, 0.000, 0.500)
Au (0.500, 0.000, 0.000)
La (0.500, 0.500, 0.500)

Output
total magnetic moment	0.000	μB/cell
calculated density	9.67	Mg/m³

x | VASP calculation (GGA-PBE) on crystalline LaScAu3 at its relaxed geometry.

Lattice parameters (Å, degrees): 5.443 5.443 5.443 90.00 90.00 90.00
Positions (direct):
Sc (0.500, 0.500, 0.500)
Au (0.000, 0.500, 0.000)
Au (0.000, 0.000, 0.500)
Au (0.500, 0.000, 0.000)
La (0.000, 0.000, 0.000)

Output
total magnetic moment	0.000	μB/cell
calculated density	7.98	Mg/m³

Need the numbers? Relative energies in meV/atom: w 0; x 670.

w | VASP calculation (GGA-PBE) on crystalline LaScAu at its relaxed geometry.

Lattice parameters (Å, degrees): 4.918 4.918 4.918 60.00 60.00 60.00
Positions (direct):
Au (0.500, 0.500, 0.500)
La (0.750, 0.750, 0.750)
Sc (0.000, 0.000, 0.000)

Output
total magnetic moment	0.000	μB/cell
calculated density	7.52	Mg/m³

x | VASP calculation (GGA-PBE) on crystalline LaScAu at its relaxed geometry.

Lattice parameters (Å, degrees): 4.804 4.804 4.009 90.00 90.00 120.00
Positions (direct):
Au (0.000, 0.000, 0.835)
La (0.667, 0.333, 0.332)
Sc (0.333, 0.667, 0.832)

Output
total magnetic moment	0.000	μB/cell
calculated density	7.89	Mg/m³

Need the numbers? Relative energies in meV/atom: w 658; x 0.

w | VASP calculation (GGA-PBE) on crystalline LaSc3Au at its relaxed geometry.

Lattice parameters (Å, degrees): 5.262 5.262 5.262 90.00 90.00 90.00
Positions (direct):
Sc (0.000, 0.500, 0.000)
Sc (0.000, 0.000, 0.500)
Sc (0.500, 0.000, 0.000)
Au (0.000, 0.000, 0.000)
La (0.500, 0.500, 0.500)

Output
total magnetic moment	0.000	μB/cell
calculated density	5.36	Mg/m³

x | VASP calculation (GGA-PBE) on crystalline LaSc3Au at its relaxed geometry.

Lattice parameters (Å, degrees): 5.110 5.110 5.110 90.00 90.00 90.00
Positions (direct):
Sc (0.000, 0.500, 0.000)
Sc (0.000, 0.000, 0.500)
Sc (0.500, 0.000, 0.000)
Au (0.500, 0.500, 0.500)
La (0.000, 0.000, 0.000)

Output
total magnetic moment	0.000	μB/cell
calculated density	5.86	Mg/m³

Need the numbers? Relative energies in meV/atom: w 0; x 1001.

w | VASP calculation (GGA-PBE) on crystalline LaAuSe2 at its relaxed geometry.

Lattice parameters (Å, degrees): 8.140 8.140 8.140 33.10 33.10 33.10
Positions (direct):
Au (0.000, 0.000, 0.000)
Se (0.895, 0.895, 0.895)
Se (0.105, 0.105, 0.105)
La (0.500, 0.500, 0.500)

Output
total magnetic moment	0.000	μB/cell
calculated density	5.73	Mg/m³

x | VASP calculation (GGA-PBE) on crystalline LaAuSe2 at its relaxed geometry.

Lattice parameters (Å, degrees): 6.509 8.188 7.633 90.00 90.00 90.00
Positions (direct):
La (0.829, 0.250, 0.963)
La (0.171, 0.250, 0.463)
La (0.171, 0.750, 0.037)
La (0.829, 0.750, 0.537)
Au (0.496, 0.000, 0.750)
Au (0.504, 0.000, 0.250)
Au (0.504, 0.500, 0.250)
Au (0.496, 0.500, 0.750)
Se (0.077, 0.000, 0.750)
Se (0.923, 0.500, 0.250)
Se (0.923, 0.000, 0.250)
Se (0.077, 0.500, 0.750)
Se (0.376, 0.250, 0.087)
Se (0.376, 0.750, 0.413)
Se (0.624, 0.750, 0.913)
Se (0.624, 0.250, 0.587)

Output
total magnetic moment	0.000	μB/cell
calculated density	8.06	Mg/m³

Need the numbers? Relative energies in meV/atom: w 86; x 0.